Computed, not measured: a crystal of KMo2P3O13 relaxed with PBEsol at the SCAN level of DFT.

Cell lengths 8.897, 8.897, 8.847 Å; angles 111.12, 111.12, 105.34 degrees
Fractional coordinates of all 38 atoms:
K  0.000  0.500  0.000
K  0.500  0.000  0.500
Mo  0.163  0.328  0.671
Mo  0.328  0.163  0.171
Mo  0.672  0.837  0.829
Mo  0.837  0.672  0.329
P  0.011  0.989  0.250
P  0.237  0.648  0.560
P  0.352  0.763  0.940
P  0.648  0.237  0.060
P  0.763  0.352  0.440
P  0.989  0.011  0.750
O  0.004  0.106  0.421
O  0.059  0.208  0.791
O  0.100  0.649  0.401
O  0.106  0.004  0.921
O  0.197  0.459  0.535
O  0.208  0.059  0.291
O  0.237  0.763  0.750
O  0.254  0.570  0.902
O  0.303  0.351  0.232
O  0.351  0.303  0.732
O  0.351  0.900  0.099
O  0.430  0.746  0.598
O  0.459  0.197  0.035
O  0.541  0.803  0.965
O  0.570  0.254  0.402
O  0.649  0.100  0.901
O  0.649  0.697  0.268
O  0.697  0.649  0.768
O  0.746  0.430  0.098
O  0.763  0.237  0.250
O  0.792  0.941  0.709
O  0.803  0.541  0.465
O  0.894  0.996  0.079
O  0.900  0.351  0.599
O  0.941  0.792  0.209
O  0.996  0.894  0.579

- Distance to the lowest polymorph of the same formula: 0 meV per atom
- DFT total energy: -12.370 eV per atom
- Space group: C2/c, No. 15
- Formation energy from raw total energies: -2354 meV/atom